Entry 1:
Density functional theory data (PBE-GGA) for an optimized crystal structure of La6Nd2SmMg.

abc: 9.5680 8.7721 8.7721
angles: 104.66 95.51 95.51
With the nearest neighbours (Å) after each atom.
Fractional positions:
La1 0.0813 0.0800 0.7410  3 La 3.43-3.55, 1 Nd 3.49, 1 Mg 3.68, 2 Sm 3.72-3.76
La2 0.4187 0.2590 0.9200  3 La 3.43-3.55, 1 Nd 3.49, 1 Mg 3.68, 2 Sm 3.72-3.76
La3 0.9187 0.9200 0.2590  3 La 3.43-3.55, 1 Nd 3.49, 1 Mg 3.68, 2 Sm 3.72-3.76
La4 0.5813 0.7410 0.0800  3 La 3.43-3.55, 1 Nd 3.49, 1 Mg 3.68, 2 Sm 3.72-3.76
La5 0.3264 0.0338 0.4577  1 Sm 3.28, 1 Mg 3.34, 3 La 3.47-3.59, 2 Nd 3.59-3.63
La6 0.1736 0.5423 0.9662  1 Sm 3.28, 1 Mg 3.34, 3 La 3.47-3.59, 2 Nd 3.59-3.63
La7 0.6736 0.9662 0.5423  1 Sm 3.28, 1 Mg 3.34, 3 La 3.47-3.59, 2 Nd 3.59-3.63
La8 0.8264 0.4577 0.0338  1 Sm 3.28, 1 Mg 3.34, 3 La 3.47-3.59, 2 Nd 3.59-3.63
La9 0.0988 0.6769 0.4353  3 La 3.30-3.59, 2 Mg 3.31-3.45, 2 Nd 3.64-3.67
La10 0.4012 0.5647 0.3231  3 La 3.30-3.59, 2 Mg 3.31-3.45, 2 Nd 3.64-3.67
La11 0.9012 0.3231 0.5647  3 La 3.30-3.59, 2 Mg 3.31-3.45, 2 Nd 3.64-3.67
La12 0.5988 0.4353 0.6769  3 La 3.30-3.59, 2 Mg 3.31-3.45, 2 Nd 3.64-3.67
Nd1 0.4066 0.7998 0.7352  1 Sm 3.41, 6 La 3.49-3.79, 1 Mg 3.51
Nd2 0.0934 0.2648 0.2002  1 Sm 3.41, 6 La 3.49-3.79, 1 Mg 3.51
Nd3 0.5934 0.2002 0.2648  1 Sm 3.41, 6 La 3.49-3.79, 1 Mg 3.51
Nd4 0.9066 0.7352 0.7998  1 Sm 3.41, 6 La 3.49-3.79, 1 Mg 3.51
Sm1 0.2500 0.9297 0.0703  2 La 3.28, 2 Nd 3.41
Sm2 0.7500 0.0703 0.9297  2 La 3.28, 2 Nd 3.41
Mg1 0.2500 0.4029 0.5971  8 La 3.31-3.68, 2 Nd 3.51
Mg2 0.7500 0.5971 0.4029  8 La 3.31-3.68, 2 Nd 3.51

Summary:
ΔE_f: 0.08 eV/atom
size of the total moment: 0.000 μB/atom
E_tot: -89.2 eV/cell

---

Entry 2:
Density functional theory data (PBE-GGA) for an optimized crystal structure of LaNdMgSn.

abc: 5.5042 5.5042 5.5042
angles: 60.00 60.00 60.00
With the nearest neighbours (Å) after each atom.
Fractional positions:
Mg1 0.5000 0.5000 0.5000  4 La 3.37, 4 Nd 3.37
Nd1 0.7500 0.7500 0.7500  4 Sn 3.37, 4 Mg 3.37
Sn1 0.0000 0.0000 0.0000  4 La 3.37, 4 Nd 3.37
La1 0.2500 0.2500 0.2500  4 Sn 3.37, 4 Mg 3.37

Summary:
ΔE_f: -0.45 eV/atom
size of the total moment: 0.000 μB/atom
E_tot: -17.1 eV/cell

---

Entry 3:
Density functional theory data (PBE-GGA) for an optimized crystal structure of LaNd2Mg2Sn2.

abc: 5.0368 5.0368 9.6411
angles: 74.86 74.86 60.00
With the nearest neighbours (Å) after each atom.
Fractional positions:
La1 0.0000 0.0000 0.0000  6 Sn 3.49, 6 Mg 3.56, 2 Nd 3.62
Nd1 0.1311 0.1311 0.6067  3 Mg 3.30, 4 Sn 3.36-3.64, 3 Nd 3.51, 1 La 3.62
Nd2 0.8689 0.8689 0.3933  3 Mg 3.30, 4 Sn 3.36-3.64, 3 Nd 3.51, 1 La 3.62
Mg1 0.5920 0.5920 0.2239  3 Sn 2.91
Mg2 0.4080 0.4080 0.7761  3 Sn 2.91
Sn1 0.7369 0.7369 0.7892  3 Mg 2.91
Sn2 0.2631 0.2631 0.2108  3 Mg 2.91

Summary:
ΔE_f: -0.39 eV/atom
size of the total moment: 0.000 μB/atom
E_tot: -28.4 eV/cell

---

Entry 4:
Density functional theory data (PBE-GGA) for an optimized crystal structure of La2NdMg2Sn2.

abc: 5.0172 5.0172 9.7105
angles: 75.03 75.03 60.00
With the nearest neighbours (Å) after each atom.
Fractional positions:
La1 0.1316 0.1316 0.6052  3 Mg 3.38, 4 Sn 3.40-3.73, 3 La 3.49, 1 Nd 3.66
La2 0.8684 0.8684 0.3948  3 Mg 3.38, 4 Sn 3.40-3.73, 3 La 3.49, 1 Nd 3.66
Nd1 0.0000 0.0000 0.0000  6 Sn 3.45, 6 Mg 3.48, 2 La 3.66
Mg1 0.5976 0.5976 0.2073  3 Sn 2.90
Mg2 0.4024 0.4024 0.7927  3 Sn 2.90
Sn1 0.7341 0.7341 0.7977  3 Mg 2.90
Sn2 0.2659 0.2659 0.2023  3 Mg 2.90

Summary:
ΔE_f: -0.40 eV/atom
size of the total moment: 0.000 μB/atom
E_tot: -28.6 eV/cell

---

Entry 5:
Density functional theory data (PBE-GGA) for an optimized crystal structure of SrLaNdMg.

abc: 5.8735 5.8735 5.8735
angles: 60.00 60.00 60.00
With the nearest neighbours (Å) after each atom.
Fractional positions:
Sr1 0.2500 0.2500 0.2500  4 La 3.60, 4 Nd 3.60
Mg1 0.7500 0.7500 0.7500  4 Nd 3.60, 4 La 3.60
Nd1 0.0000 0.0000 0.0000  4 Sr 3.60, 4 Mg 3.60
La1 0.5000 0.5000 0.5000  4 Mg 3.60, 4 Sr 3.60

Summary:
ΔE_f: 0.12 eV/atom
size of the total moment: 0.000 μB/atom
E_tot: -12.5 eV/cell

---

Entry 6:
Density functional theory data (PBE-GGA) for an optimized crystal structure of La2TbNdMg.

abc: 5.7849 6.5078 9.6627
angles: 66.07 90.00 90.00
With the nearest neighbours (Å) after each atom.
Fractional positions:
La1 0.7500 0.6985 0.8351  3 Mg 3.46-3.51, 4 Tb 3.53-3.71, 2 Nd 3.72-3.83, 3 La 3.77-3.81
La2 0.2500 0.3015 0.1649  3 Mg 3.46-3.51, 4 Tb 3.53-3.71, 2 Nd 3.72-3.83, 3 La 3.77-3.81
La3 0.2500 0.0267 0.5965  1 Tb 3.50, 2 Mg 3.52-3.75, 5 La 3.53-3.81, 4 Nd 3.59-3.80
La4 0.7500 0.9733 0.4035  1 Tb 3.50, 2 Mg 3.52-3.75, 5 La 3.53-3.81, 4 Nd 3.59-3.80
Tb1 0.2500 0.8937 0.9856  2 Tb 3.27, 1 Mg 3.27, 1 Nd 3.50, 2 La 3.50-3.53
Tb2 0.7500 0.1063 0.0144  2 Tb 3.27, 1 Mg 3.27, 1 Nd 3.50, 2 La 3.50-3.53
Nd1 0.7500 0.3387 0.6186  3 Mg 3.46-3.52, 1 Tb 3.50, 6 La 3.59-3.83, 2 Nd 3.76
Nd2 0.2500 0.6613 0.3814  3 Mg 3.46-3.52, 1 Tb 3.50, 6 La 3.59-3.83, 2 Nd 3.76
Mg1 0.7500 0.5647 0.2199  1 Tb 3.27, 4 La 3.46-3.52, 3 Nd 3.46-3.52
Mg2 0.2500 0.4353 0.7801  1 Tb 3.27, 4 La 3.46-3.52, 3 Nd 3.46-3.52

Summary:
ΔE_f: 0.02 eV/atom
size of the total moment: 0.000 μB/atom
E_tot: -41.5 eV/cell

---

Entry 7:
Density functional theory data (PBE-GGA) for an optimized crystal structure of La4TbNd2Mg.

abc: 5.1616 5.1659 11.4993
angles: 63.28 90.00 90.00
With the nearest neighbours (Å) after each atom.
Fractional positions:
La1 0.0000 0.7472 0.7534  2 Mg 3.62, 4 Nd 3.62-3.66, 4 La 3.65, 2 Tb 3.66-3.67
La2 0.0000 0.2528 0.2466  2 Mg 3.62, 4 Nd 3.62-3.67, 4 La 3.65, 2 Tb 3.66-3.67
La3 0.5000 0.7525 0.2471  4 Nd 3.62-3.67, 2 Mg 3.62, 4 La 3.65, 2 Tb 3.66
La4 0.5000 0.2475 0.7529  4 Nd 3.62-3.67, 2 Mg 3.62, 4 La 3.65, 2 Tb 3.66
Tb1 0.0000 0.5000 0.5000  4 Nd 3.65, 8 La 3.66-3.67
Nd1 0.0000 0.0000 0.0000  8 La 3.62, 4 Mg 3.65
Nd2 0.5000 0.0000 0.5000  4 Tb 3.65, 8 La 3.66-3.67
Mg1 0.5000 0.5000 0.0000  8 La 3.62, 4 Nd 3.65

Summary:
ΔE_f: 0.00 eV/atom
size of the total moment: 0.000 μB/atom
E_tot: -35.5 eV/cell

---

Entry 8:
Density functional theory data (PBE-GGA) for an optimized crystal structure of La2Tb3Nd6Mg.

abc: 6.2874 6.2874 12.0059
angles: 95.07 95.07 120.05
With the nearest neighbours (Å) after each atom.
Fractional positions:
La1 0.3329 0.6671 0.0000  3 La 3.62-3.64, 3 Mg 3.63, 6 Nd 3.65-3.66
La2 0.6671 0.3329 0.0000  3 La 3.62-3.64, 3 Mg 3.63, 6 Nd 3.65-3.66
Tb1 0.1661 0.8339 0.5000  6 Nd 3.57-3.61, 6 Tb 3.62-3.64
Tb2 0.8339 0.1661 0.5000  6 Nd 3.57-3.61, 6 Tb 3.62-3.64
Tb3 0.5000 0.5000 0.5000  6 Nd 3.59, 6 Tb 3.63-3.64
Nd1 0.9167 0.5873 0.7471  3 Tb 3.59-3.61, 6 Nd 3.59-3.65, 1 Mg 3.63, 2 La 3.65-3.66
Nd2 0.7534 0.7534 0.2540  3 Tb 3.57-3.59, 6 Nd 3.59-3.65, 1 Mg 3.66, 2 La 3.66
Nd3 0.0833 0.4127 0.2529  3 Tb 3.59-3.61, 6 Nd 3.59-3.65, 1 Mg 3.63, 2 La 3.65-3.66
Nd4 0.5873 0.9167 0.7471  3 Tb 3.59-3.61, 6 Nd 3.59-3.65, 1 Mg 3.63, 2 La 3.65-3.66
Nd5 0.2466 0.2466 0.7460  3 Tb 3.57-3.59, 6 Nd 3.59-3.65, 1 Mg 3.66, 2 La 3.66
Nd6 0.4127 0.0833 0.2529  3 Tb 3.59-3.61, 6 Nd 3.59-3.65, 1 Mg 3.63, 2 La 3.65-3.66
Mg1 0.0000 0.0000 0.0000  6 La 3.63, 6 Nd 3.63-3.66

Summary:
ΔE_f: 0.01 eV/atom
size of the total moment: 0.000 μB/atom
E_tot: -53.8 eV/cell